Below is NbCo2SeCl after structural relaxation, with properties calculated at the PBE level.

Results
Formation energy without anion corrections (eV per atom): 0.770
Mass density (g/cm3): 5.83
Space-group type: P4/mmm
Electronic total energy (eV per atom): -5.1522

Structure (POSCAR):
```
NbCo2SeCl
1.0
-3.8578 1.8661 0.1564
0.1812 -0.0475 5.0360
1.8662 3.8607 -0.0307
Nb Co Cl Se
1 2 1 1
Cartesian
0.0906 -0.0238 2.5180 Nb
-1.9289 0.9330 0.0782 Co
0.9331 1.9304 -0.0154 Co
-0.9052 2.8396 2.5809 Cl
0.0000 0.0000 0.0000 Se
```



Below is Sm2TmPu after structural relaxation, with properties calculated at the PBE level.

Results
Mass density (g/cm3): 9.47
Energy of formation from the pure elements (eV/atom): 0.108
Space-group type: P4/mmm
Electronic total energy (eV per atom): -6.9521

Structure (POSCAR):
```
Sm2TmPu
1.0
3.5253 0.0000 0.0000
0.0000 3.5253 0.0000
0.0000 0.0000 10.0673
Sm Tm Pu
2 1 1
Cartesian
0.0000 0.0000 7.5749 Sm
0.0000 0.0000 2.4924 Sm
1.7626 1.7626 5.0336 Tm
1.7626 1.7626 0.0000 Pu
```